# 1
# GGA-PBE GeSb2O, optimized geometry
data_GeSb2O
_cell_length_a 5.405
_cell_length_b 5.405
_cell_length_c 13.473
_cell_angle_alpha 90.00
_cell_angle_beta 90.00
_cell_angle_gamma 90.00
_space_group_name_H-M_alt 'I -4 2 d'
_space_group_IT_number 122
_space_group_name_Hall 'I -4 2bw'
loop_
_atom_site_label
_atom_site_type_symbol
_atom_site_fract_x
_atom_site_fract_y
_atom_site_fract_z
Ge1 Ge 0.000 0.000 0.000
Sb1 Sb 0.158 0.250 0.625
O1 O 0.000 0.000 0.500
# ΔE_f (raw): -0.1251 eV/atom
# energy: -4.5802 eV per atom

# 2
# GGA-PBE HPdSe2, optimized geometry
data_HPdSe2
_cell_length_a 3.9016
_cell_length_b 3.9016
_cell_length_c 18.1699
_cell_angle_alpha 90.00
_cell_angle_beta 90.00
_cell_angle_gamma 120.00
_space_group_name_H-M_alt 'R -3 m'
_space_group_IT_number 166
_space_group_name_Hall '-R 3 2"'
loop_
_atom_site_label
_atom_site_type_symbol
_atom_site_fract_x
_atom_site_fract_y
_atom_site_fract_z
H1 H 0.0000 0.0000 0.0000
Pd1 Pd 0.0000 0.0000 0.5000
Se1 Se 0.0000 0.0000 0.0975
# energy: -3.9828 eV per atom